A relaxed structure of BeAlSn, computed with PBE.

Calculated values
Calculated volume = 18.3 Å³/atom
DOS(E_F) = 0.808 states/eV/f.u.
Electronic total energy = -3.674 eV per atom
Calculated formation energy = 0.150 eV/atom

Cell: 6.4364 3.7000 9.4591 Å, 90.00 103.40 90.00°
Space group C2/m (No. 12)
Symmetry-distinct sites (fractional):
Be (0.1690, 0.0000, 0.0070) (multiplicity 4)
Al (0.0477, 0.5000, 0.1447) (multiplicity 4)
Sn (0.2106, 0.5000, 0.6326) (multiplicity 4)

***

A relaxed structure of BeAlSn2, computed with PBE.

Calculated values
Calculated volume = 24.0 Å³/atom
DOS(E_F) = 1.516 states/eV/f.u.
Electronic total energy = -3.521 eV per atom
Calculated formation energy = 0.348 eV/atom

Cell: 5.0343 5.0343 15.1644 Å, 90.00 90.00 90.00°
Space group I-42d (No. 122)
Symmetry-distinct sites (fractional):
Be (0.0000, 0.0000, 0.0000) (multiplicity 4)
Al (0.0000, 0.0000, 0.5000) (multiplicity 4)
Sn (0.2017, 0.2500, 0.1250) (multiplicity 8)

***

A relaxed structure of BeAlSn, computed with PBE.

Calculated values
Calculated volume = 18.2 Å³/atom
DOS(E_F) = 0.932 states/eV/f.u.
Electronic total energy = -3.631 eV per atom
Calculated formation energy = 0.193 eV/atom

Cell: 3.9834 4.4574 6.2779 Å, 90.00 101.63 90.00°
Space group P2_1/m (No. 11)
Symmetry-distinct sites (fractional):
Be (0.0000, 0.0000, 0.0000) (multiplicity 2)
Al (0.4555, 0.2500, 0.8611) (multiplicity 2)
Sn (0.2026, 0.2500, 0.3941) (multiplicity 2)